## TbPm5Pr (PBE)

Data for crystalline TbPm5Pr at its relaxed geometry.

Lattice parameters (Å, degrees): 5.890 8.021 8.021 66.38 68.46 68.46
Element x y z (fractional)
Tb 0.000 0.000 0.000
Pm 0.500 0.177 0.823
Pm 0.500 0.823 0.177
Pm 0.749 0.251 0.251
Pm 0.251 0.749 0.749
Pm 0.000 0.500 0.500
Pr 0.500 0.500 0.500

Calculated values
As for the calculated density: 5.454 g cm⁻³. The density of states at the Fermi level is 12.54 states/eV/f.u. The distance to the lowest polymorph of the same formula comes out at 0.818 eV/atom. Its space-group type is No. 71. The calculation puts the formation energy at 981.2 meV/atom. For the electronic total energy, the calculation gives -26.29 eV for the cell shown. The total magnetic moment is 0.00 μB per formula unit.